# ScSO2 GGA-PBE optimized geometry
data_ScSO2
_cell_length_a 6.238
_cell_length_b 6.238
_cell_length_c 6.238
_cell_angle_alpha 129.07
_cell_angle_beta 129.07
_cell_angle_gamma 74.90
_symmetry_space_group_name_H-M 'P 1'
_symmetry_Int_Tables_number 1
loop_
_symmetry_equiv_pos_as_xyz
'x,y,z'
loop_
_atom_site_label
_atom_site_type_symbol
_atom_site_fract_x
_atom_site_fract_y
_atom_site_fract_z
Sc1 Sc 0.000 0.000 0.000
Sc2 Sc 0.750 0.250 0.500
S1 S 0.250 0.750 0.500
S2 S 0.500 0.500 0.000
O1 O 0.027 0.625 0.902
O2 O 0.375 0.277 0.402
O3 O 0.723 0.125 0.098
O4 O 0.875 0.973 0.598
# Mass density ... 2.5 g/cm3
# Space-group type ... No. 122
# Calculated total energy ... -6.37 eV/atom
# Raw formation energy ... -1.28 eV/atom